Material: Ac4PmTl3
Method: DFT, PBE-GGA
State: relaxed

POSCAR file:
```
Ac4PmTl3
1.0
3.938 0.000 0.000
0.000 3.938 0.000
0.000 0.000 18.861
Ac Pm Tl
4 1 3
direct
0.000 0.000 0.121
0.000 0.000 0.360
0.000 0.000 0.640
0.000 0.000 0.879
0.500 0.500 0.500
0.500 0.500 0.000
0.500 0.500 0.241
0.500 0.500 0.759
```

Output
Calculated total energy (eV per formula unit): -30.19
ρ (Mg/m³): 9.46
DFT formation energy (eV per atom): -0.24
Calculated volume (A^3/atom): 36.6